The following is a DFT calculation (PBE) of a relaxed structure of PaMnIr.

```
PaMnIr
1.0
-0.1230 -2.9194 2.3729
2.7424 -2.0696 -2.4040
1.3734 2.4639 3.1026
Pa Mn Ir
1 1 1
Direct
0.6666 0.3333 0.6667
0.1667 0.0000 0.0000
0.1667 0.6667 0.3333
```

Computed properties:
crystal system = hexagonal
DOS at the Fermi energy = 1.12 states/eV per atom
energy relative to the elements = -0.276 eV/atom
energy above the lowest structure with this stoichiometry = 260.9 meV/atom
raw total energy = -28.35 eV per formula unit